(1)
A plane-wave DFT calculation with PBE was carried out for an optimized crystal structure of LaMn2Br.

POSCAR file:
```
LaMn2Br
1.0
1.963 1.133 7.597
-1.963 1.133 7.597
0.000 -2.266 7.597
La Mn Br
1 2 1
direct
0.000 0.000 0.000 La
0.221 0.221 0.221 Mn
0.581 0.581 0.581 Mn
0.761 0.761 0.761 Br
```

Output
Formation energy from raw total energies ... -0.023 eV/f.u.
Energy relative to the lowest polymorph listed for this composition ... 70 meV/atom

(2)
A plane-wave DFT calculation with PBE was carried out for an optimized crystal structure of CaAc2Pb3.

POSCAR file:
```
CaAc2Pb3
1.0
2.932 -8.827 0.000
2.932 8.827 0.000
0.000 0.000 7.954
Ca Ac Pb
2 4 6
direct
0.166 0.834 0.000 Ca
0.834 0.166 0.000 Ca
0.166 0.834 0.500 Ac
0.500 0.500 0.000 Ac
0.500 0.500 0.500 Ac
0.834 0.166 0.500 Ac
0.000 0.000 0.241 Pb
0.000 0.000 0.759 Pb
0.329 0.671 0.233 Pb
0.329 0.671 0.767 Pb
0.671 0.329 0.233 Pb
0.671 0.329 0.767 Pb
```

Output
Energy relative to the lowest polymorph listed for this composition ... 21 meV/atom
E_form ... -2.84 eV per formula unit

(3)
A plane-wave DFT calculation with PBE was carried out for an optimized crystal structure of FePHAuC.

POSCAR file:
```
FePHAuC
1.0
2.895 0.000 0.000
1.439 3.011 0.000
0.975 0.680 8.186
Fe P H Au C
1 1 1 1 1
direct
0.000 0.000 0.000 Fe
0.368 0.387 0.818 P
0.850 0.007 0.434 H
0.370 0.058 0.301 Au
0.303 0.367 0.044 C
```

Output
Energy relative to the lowest polymorph listed for this composition ... 196 meV/atom

(4)
A plane-wave DFT calculation with PBE was carried out for an optimized crystal structure of Ho3Ge5Rh6.

POSCAR file:
```
Ho3Ge5Rh6
1.0
4.065 0.000 0.000
0.000 12.710 0.000
0.000 0.000 9.581
Ho Ge Rh
6 10 12
direct
0.250 0.081 0.249 Ho
0.250 0.419 0.249 Ho
0.250 0.750 0.255 Ho
0.750 0.250 0.745 Ho
0.750 0.581 0.751 Ho
0.750 0.919 0.751 Ho
0.250 0.082 0.851 Ge
0.250 0.418 0.851 Ge
0.250 0.631 0.521 Ge
0.250 0.750 0.859 Ge
0.250 0.869 0.521 Ge
0.750 0.131 0.479 Ge
0.750 0.250 0.141 Ge
0.750 0.369 0.479 Ge
0.750 0.582 0.149 Ge
0.750 0.918 0.149 Ge
0.250 0.050 0.597 Rh
0.250 0.250 0.483 Rh
0.250 0.250 0.989 Rh
0.250 0.450 0.597 Rh
0.250 0.584 0.001 Rh
0.250 0.916 0.001 Rh
0.750 0.084 0.999 Rh
0.750 0.416 0.999 Rh
0.750 0.550 0.403 Rh
0.750 0.750 0.011 Rh
0.750 0.750 0.517 Rh
0.750 0.950 0.403 Rh
```

Output
E_form ... -12.46 eV per formula unit